First-principles (PBE with a Hubbard U) data for a relaxed structure of NiBiMoF2, as listed in Alexandria.

The space group is P4/mmm (No. 123) and the conventional cell measures 4.038, 4.038 and 6.047 Å, with angles of 90.00, 90.00 and 90.00 degrees. The inequivalent atoms are Ni at (0.000, 0.000, 0.000), Bi at (0.000, 0.000, 0.500), Mo at (0.500, 0.500, 0.500) and F at (0.000, 0.500, 0.000).

For the total energy, the calculation gives -4.07 eV per atom. For the density of states at the Fermi level, the calculation gives 0.097 states/eV/atom. As for the crystal system: tetragonal. The spin magnetization is 5.1 Bohr magnetons per cell. Its calculated volume is 98.58 Å³ per cell.